# 1
4
Lattice="-1.772 -0.454 5.098 -5.100 -1.547 0.967 -0.993 -4.895 2.096" Properties=species:S:1:pos:R:3 comment="HoThPa2 | the Alexandria database | GGA-PBE | relaxed" ef_ev_per_atom=0.444 magnetic_moment_mub_per_fu=0.0 space_group="Fm-3m, No. 225" polymorph_energy_mev_per_atom=251.1 vol_a3_per_cell=112 pbc="T T T"
Pa -5.897 -5.177 6.121
Pa -1.968 -1.719 2.040
Ho 0.000 0.000 0.000
Th -3.932 -3.448 4.081


# 2
12
Lattice="6.754 -0.075 0.000 -3.338 5.872 0.000 0.000 0.000 9.145" Properties=species:S:1:pos:R:3 comment="HoThPa | the Alexandria database | GGA-PBE | relaxed" ef_ev_per_atom=0.470 magnetic_moment_mub_per_fu=0.0 space_group="Amm2, No. 38" polymorph_energy_mev_per_atom=325.3 vol_a3_per_cell=360 pbc="T T T"
Pa 0.046 3.878 3.176
Pa 3.404 1.899 1.368
Pa 3.404 1.899 7.777
Pa 0.046 3.878 5.969
Ho 6.752 -0.074 2.381
Ho 6.752 -0.074 6.764
Ho 1.825 1.038 4.572
Ho 3.393 3.698 4.572
Th 4.868 1.037 4.572
Th 1.629 4.777 0.000
Th 0.027 2.058 0.000
Th -1.556 4.823 0.000


# 3
4
Lattice="5.375 0.000 0.000 2.687 4.655 0.000 2.687 1.552 4.389" Properties=species:S:1:pos:R:3 comment="HoThZrPa | the Alexandria database | GGA-PBE | relaxed" ef_ev_per_atom=0.305 magnetic_moment_mub_per_fu=0.0 space_group="F-43m, No. 216" vol_a3_per_cell=110 pbc="T T T"
Zr 2.687 1.552 1.097
Pa 5.375 3.103 2.194
Ho 0.000 0.000 0.000
Th 8.062 4.655 3.291


# 4
4
Lattice="-0.424 3.494 0.858 -1.393 -0.956 3.204 6.318 0.085 2.772" Properties=species:S:1:pos:R:3 comment="HoPaTi2 | the Alexandria database | GGA-PBE | relaxed" ef_ev_per_atom=0.099 magnetic_moment_mub_per_fu=0.0 space_group="P4/mmm, No. 123" vol_a3_per_cell=91 pbc="T T T"
Pa -0.908 1.269 2.031
Ho 2.250 1.311 3.417
Ti 5.054 0.068 2.217
Ti 1.264 0.017 0.555